Here is a relaxed LaY2IrSe crystal from the Alexandria database. Energies are from PBE. Values from VASP.

Quantum ESPRESSO input file:
```
&SYSTEM
  ibrav = 0, nat = 5, ntyp = 4
/
ATOMIC_SPECIES
La 138.91 La.upf
Y 88.91 Y.upf
Ir 192.22 Ir.upf
Se 78.96 Se.upf
CELL_PARAMETERS angstrom
5.3629 0.0000 0.0000
0.0000 5.3629 0.0000
0.0000 0.0000 4.8262
ATOMIC_POSITIONS angstrom
La 0.0000 0.0000 0.0000
Y 0.0000 2.6814 2.4131
Y 2.6814 0.0000 2.4131
Ir 2.6814 2.6814 0.0000
Se 2.6814 2.6814 2.4131
```

mass density: 7.03 g/cm3
V: 139 Å³ per cell
SG: P4/mmm
E_tot: -0.46031 Ry per atom